A relaxed structure of SrRuIN2. Source: Alexandria, functional PBE.

## Properties
ΔE_f (raw), eV/atom: 0.45
Energy above the lowest structure with this stoichiometry, eV per atom: 0.000

a = 4.1412 Å, b = 4.1412 Å, c = 5.5276 Å
α = 90.00°, β = 90.00°, γ = 90.00°
Space group P4/mmm (No. 123)
One atom of each set of equivalent atoms:
Sr1 0.0000 0.0000 0.0000 x1
Ru1 0.5000 0.5000 0.5000 x1
I1 0.5000 0.5000 0.0000 x1
N1 0.0000 0.5000 0.5000 x2